1.
Density functional theory data (PBE-GGA) for crystalline Er7CdHg4 at its relaxed geometry.

The value obtained for the volume is 662 Å³/cell. The formation energy from the elements is -192 meV/atom.

The structure belongs to space group C2/m (No. 12); the cell edges are 15.232, 5.553 and 8.725 Å and the angles 90.00°, 116.32° and 90.00°. The distinct sites, in fractional coordinates, are Er at (0.000, 0.000, 0.000), Er at (0.073, 0.500, 0.394), Er at (0.167, 0.500, 0.887), Er at (0.212, 0.000, 0.648), Cd at (0.000, 0.500, 0.000), Hg at (0.033, 0.000, 0.691) and Hg at (0.199, 0.000, 0.292).

***

2.
Density functional theory data (PBE-GGA) for crystalline Ce3C2O at its relaxed geometry.

The value obtained for the volume is 438 Å³/cell. The value obtained for the energy is -182.1 eV per cell.

The structure belongs to space group Cmcm (No. 63); the cell edges are 3.604, 12.005 and 10.132 Å and the angles 90.00°, 90.00° and 90.00°. The distinct sites, in fractional coordinates, are Ce at (0.000, 0.108, 0.250), Ce at (0.000, 0.375, 0.078), C at (0.000, 0.000, 0.000), C at (0.000, 0.486, 0.250) and O at (0.000, 0.255, 0.750).

***

3.
Density functional theory data (PBE-GGA) for crystalline Li2PtW at its relaxed geometry.

The value obtained for the volume is 180 Å³/cell. The formation energy from the elements is -50 meV/atom.

The structure belongs to space group R-3m (No. 166, hexagonal axes); the cell edges are 2.7317, 2.7317 and 27.8111 Å and the angles 90.00°, 90.00° and 120.00°. The distinct sites, in fractional coordinates, are Li at (0.0000, 0.0000, 0.2430), Pt at (0.0000, 0.0000, 0.5000) and W at (0.0000, 0.0000, 0.0000).